Record 1
A relaxed structure of Ac12InGa6, computed with PBE.

Computed properties:
- VASP energy: -4.0253 eV per atom

Cell lengths 9.642, 9.642, 9.642 Å; angles 109.47, 109.47, 109.47 degrees
Fractional positions:
1 Ga 0.884 0.384 0.500
2 Ac 0.188 0.703 0.891
3 Ac 0.812 0.297 0.109
4 Ac 0.703 0.891 0.188
5 Ac 0.297 0.485 0.188
6 Ac 0.812 0.703 0.515
7 Ga 0.616 0.500 0.116
8 Ga 0.384 0.500 0.884
9 Ac 0.485 0.188 0.297
10 Ga 0.500 0.884 0.384
11 Ga 0.500 0.116 0.616
12 Ac 0.188 0.297 0.485
13 Ga 0.116 0.616 0.500
14 Ac 0.703 0.515 0.812
15 Ac 0.109 0.812 0.297
16 Ac 0.891 0.188 0.703
17 Ac 0.515 0.812 0.703
18 Ac 0.297 0.109 0.812
19 In 0.000 0.000 0.000



Record 2
A relaxed structure of AcIn2Ga, computed with PBE.

Computed properties:
- VASP energy: -3.5375 eV per atom
- Excess energy over the best structure of this formula in the dataset: 0.021 eV per atom

Cell lengths 4.742, 9.943, 9.716 Å; angles 90.00, 90.00, 103.80 degrees
Fractional positions:
1 In 0.314 0.627 0.102
2 Ac 0.500 0.000 0.000
3 In 0.915 0.830 0.250
4 In 0.686 0.373 0.602
5 In 0.085 0.170 0.750
6 In 0.064 0.128 0.250
7 Ga 0.147 0.294 0.479
8 Ga 0.147 0.294 0.021
9 In 0.936 0.872 0.750
10 Ga 0.853 0.706 0.521
11 Ac 0.299 0.598 0.750
12 Ac 0.701 0.402 0.250
13 Ga 0.853 0.706 0.979
14 In 0.314 0.627 0.398
15 Ac 0.500 0.000 0.500
16 In 0.686 0.373 0.898



Record 3
A relaxed structure of AcIn2Ga, computed with PBE.

Computed properties:
- VASP energy: -3.5583 eV per atom
- Excess energy over the best structure of this formula in the dataset: 0.000 eV per atom

Cell lengths 4.808, 4.684, 10.153 Å; angles 103.34, 90.00, 90.00 degrees
Fractional positions:
1 Ga 0.250 0.670 0.341
2 Ac 0.250 0.895 0.791
3 In 0.250 0.251 0.501
4 Ac 0.750 0.105 0.209
5 In 0.250 0.536 0.072
6 In 0.750 0.464 0.928
7 In 0.750 0.749 0.499
8 Ga 0.750 0.330 0.659



Record 4
A relaxed structure of AcInGa, computed with PBE.

Computed properties:
- VASP energy: -3.7605 eV per atom
- Excess energy over the best structure of this formula in the dataset: 0.074 eV per atom

Cell lengths 4.375, 6.049, 8.609 Å; angles 126.41, 104.72, 90.00 degrees
Fractional positions:
1 In 0.907 0.624 0.813
2 In 0.093 0.376 0.187
3 Ac 0.382 0.089 0.763
4 Ga 0.269 0.379 0.539
5 Ac 0.618 0.911 0.237
6 Ga 0.731 0.621 0.461



Record 5
A relaxed structure of Ac2InGa8, computed with PBE.

Computed properties:
- VASP energy: -3.5372 eV per atom

Cell lengths 5.865, 6.083, 9.304 Å; angles 116.72, 116.26, 67.09 degrees
Fractional positions:
1 Ga 0.958 0.298 0.000
2 Ga 0.748 0.248 0.497
3 Ga 0.973 0.986 0.702
4 Ga 0.252 0.752 0.503
5 Ac 0.647 0.647 0.294
6 Ga 0.042 0.702 0.000
7 Ga 0.271 0.283 0.298
8 In 0.500 0.000 0.000
9 Ga 0.729 0.717 0.702
10 Ac 0.353 0.353 0.706
11 Ga 0.027 0.014 0.298



Record 6
A relaxed structure of Ac4InGa, computed with PBE.

Computed properties:
- VASP energy: -3.8676 eV per atom
- Excess energy over the best structure of this formula in the dataset: 0.097 eV per atom

Cell lengths 5.519, 5.520, 7.875 Å; angles 89.97, 89.98, 90.00 degrees
Fractional positions:
1 Ac 0.501 0.997 0.262
2 Ac 0.001 0.497 0.734
3 Ac 0.501 0.998 0.734
4 In 0.501 0.497 0.998
5 Ga 0.001 0.997 0.498
6 Ac 0.001 0.497 0.262



Record 7
A relaxed structure of Ac6InGa2, computed with PBE.

Computed properties:
- VASP energy: -4.0384 eV per atom
- Excess energy over the best structure of this formula in the dataset: 0.000 eV per atom

Cell lengths 9.555, 9.555, 9.555 Å; angles 105.65, 110.73, 112.10 degrees
Fractional positions:
1 Ac 0.195 0.756 0.951
2 Ga 0.500 0.385 0.885
3 Ga 0.344 0.000 0.344
4 Ac 0.697 0.024 0.327
5 Ac 0.544 0.722 0.822
6 Ac 0.303 0.976 0.673
7 Ac 0.805 0.244 0.049
8 Ac 0.805 0.756 0.561
9 In 0.000 0.000 0.000
10 Ac 0.195 0.244 0.439
11 In 0.000 0.500 0.500
12 Ac 0.100 0.278 0.822
13 Ac 0.303 0.631 0.327
14 Ac 0.697 0.369 0.673
15 Ac 0.456 0.278 0.178
16 Ga 0.500 0.615 0.115
17 Ga 0.656 0.000 0.656
18 Ac 0.900 0.722 0.178



Record 8
A relaxed structure of AcInGa, computed with PBE.

Computed properties:
- VASP energy: -3.8125 eV per atom
- Excess energy over the best structure of this formula in the dataset: 0.022 eV per atom

Cell lengths 4.729, 4.638, 4.638 Å; angles 120.00, 90.00, 90.00 degrees
Fractional positions:
1 Ga 0.206 0.667 0.333
2 Ac 0.656 0.333 0.667
3 In 0.138 0.000 0.000



Record 9
A relaxed structure of Ac2InGa, computed with PBE.

Computed properties:
- VASP energy: -3.9553 eV per atom

Cell lengths 4.507, 6.587, 9.777 Å; angles 111.82, 90.00, 90.00 degrees
Fractional positions:
1 Ac 0.750 0.221 0.423
2 Ac 0.250 0.779 0.577
3 Ac 0.250 0.786 0.064
4 In 0.250 0.355 0.715
5 Ac 0.750 0.214 0.936
6 Ga 0.750 0.641 0.786
7 In 0.750 0.645 0.285
8 Ga 0.250 0.359 0.214



Record 10
A relaxed structure of AcIn2Ga, computed with PBE.

Computed properties:
- VASP energy: -3.4001 eV per atom
- Excess energy over the best structure of this formula in the dataset: 0.158 eV per atom

Cell lengths 3.890, 3.890, 7.432 Å; angles 90.00, 90.00, 90.00 degrees
Fractional positions:
1 Ga 0.500 0.500 0.000
2 In 0.000 0.000 0.800
3 Ac 0.500 0.500 0.500
4 In 0.000 0.000 0.200



Record 11
A relaxed structure of Ac3In2Ga, computed with PBE.

Computed properties:
- VASP energy: -3.8955 eV per atom
- Excess energy over the best structure of this formula in the dataset: 0.000 eV per atom

Cell lengths 4.021, 4.021, 12.302 Å; angles 90.00, 90.00, 90.00 degrees
Fractional positions:
1 In 0.500 0.500 0.828
2 Ac 0.000 0.000 0.345
3 Ac 0.000 0.000 0.655
4 In 0.500 0.500 0.172
5 Ac 0.000 0.000 0.000
6 Ga 0.500 0.500 0.500



Record 12
A relaxed structure of Ac4In5Ga2, computed with PBE.

Computed properties:
- VASP energy: -3.6912 eV per atom

Cell lengths 4.061, 8.293, 10.250 Å; angles 95.09, 90.00, 90.00 degrees
Fractional positions:
1 In 0.000 0.500 0.000
2 Ga 0.000 0.058 0.627
3 Ac 0.500 0.742 0.562
4 Ac 0.500 0.181 0.871
5 In 0.000 0.180 0.157
6 Ac 0.500 0.258 0.438
7 In 0.000 0.551 0.302
8 Ac 0.500 0.819 0.129
9 Ga 0.000 0.942 0.373
10 In 0.000 0.449 0.698
11 In 0.000 0.820 0.843



Record 13
A relaxed structure of Ac3In2Ga4, computed with PBE.

Computed properties:
- VASP energy: -3.8282 eV per atom

Cell lengths 4.577, 6.598, 9.533 Å; angles 111.32, 90.00, 110.30 degrees
Fractional positions:
1 In 0.670 0.340 0.308
2 Ac 0.385 0.771 0.315
3 Ga 0.894 0.787 0.582
4 In 0.330 0.660 0.692
5 Ac 0.615 0.229 0.685
6 Ga 0.730 0.460 0.053
7 Ga 0.270 0.540 0.947
8 Ga 0.106 0.213 0.418
9 Ac 0.000 0.000 0.000



Record 14
A relaxed structure of Ac12In6Ga, computed with PBE.

Computed properties:
- VASP energy: -3.8349 eV per atom

Cell lengths 9.051, 9.051, 9.051 Å; angles 92.31, 92.31, 92.31 degrees
Fractional positions:
1 In 0.134 0.737 0.320
2 In 0.263 0.680 0.866
3 Ac 0.334 0.982 0.104
4 In 0.680 0.866 0.263
5 In 0.737 0.320 0.134
6 Ac 0.896 0.666 0.018
7 Ac 0.555 0.193 0.443
8 Ac 0.666 0.018 0.896
9 Ac 0.193 0.443 0.555
10 Ac 0.443 0.555 0.193
11 Ac 0.557 0.445 0.807
12 Ac 0.018 0.896 0.666
13 Ac 0.807 0.557 0.445
14 In 0.866 0.263 0.680
15 Ac 0.445 0.807 0.557
16 Ac 0.982 0.104 0.334
17 In 0.320 0.134 0.737
18 Ac 0.104 0.334 0.982
19 Ga 0.000 0.000 0.000



Record 15
A relaxed structure of Ac3InGa2, computed with PBE.

Computed properties:
- VASP energy: -3.9040 eV per atom
- Excess energy over the best structure of this formula in the dataset: 0.038 eV per atom

Cell lengths 4.711, 4.918, 9.061 Å; angles 105.67, 105.16, 90.01 degrees
Fractional positions:
1 Ga 0.631 0.131 0.263
2 Ga 0.369 0.869 0.737
3 Ac 0.177 0.676 0.353
4 Ac 0.823 0.324 0.647
5 Ac 0.500 0.500 0.000
6 In 0.000 0.000 0.000



Record 16
A relaxed structure of AcIn12Ga4, computed with PBE.

Computed properties:
- VASP energy: -2.8866 eV per atom

Cell lengths 8.469, 8.469, 8.469 Å; angles 109.47, 109.47, 109.47 degrees
Fractional positions:
1 In 0.155 0.651 0.806
2 In 0.349 0.504 0.155
3 In 0.651 0.806 0.155
4 Ga 0.500 0.500 0.500
5 In 0.806 0.155 0.651
6 In 0.194 0.845 0.349
7 Ga 0.000 0.000 0.500
8 In 0.845 0.349 0.194
9 In 0.845 0.651 0.496
10 In 0.155 0.349 0.504
11 In 0.504 0.155 0.349
12 Ga 0.000 0.500 0.000
13 Ac 0.000 0.000 0.000
14 Ga 0.500 0.000 0.000
15 In 0.349 0.194 0.845
16 In 0.651 0.496 0.845
17 In 0.496 0.845 0.651



Record 17
A relaxed structure of Ac3In2Ga2, computed with PBE.

Computed properties:
- VASP energy: -3.9060 eV per atom

Cell lengths 4.368, 6.632, 8.996 Å; angles 113.50, 90.00, 109.23 degrees
Fractional positions:
1 Ac 0.693 0.385 0.654
2 In 0.029 0.059 0.333
3 Ac 0.500 0.000 0.000
4 Ga 0.190 0.380 0.943
5 Ac 0.307 0.615 0.346
6 Ga 0.810 0.620 0.057
7 In 0.971 0.941 0.667



Record 18
A relaxed structure of Ac3In4Ga2, computed with PBE.

Computed properties:
- VASP energy: -3.7548 eV per atom

Cell lengths 4.717, 6.671, 9.461 Å; angles 100.15, 90.00, 110.70 degrees
Fractional positions:
1 In 0.713 0.426 0.057
2 In 0.287 0.574 0.943
3 In 0.955 0.911 0.628
4 Ga 0.370 0.739 0.700
5 Ac 0.331 0.661 0.338
6 Ac 0.669 0.339 0.662
7 In 0.045 0.089 0.372
8 Ac 0.000 0.000 0.000
9 Ga 0.630 0.261 0.300



Record 19
A relaxed structure of Ac2In2Ga3, computed with PBE.

Computed properties:
- VASP energy: -3.7182 eV per atom

Cell lengths 4.634, 6.410, 7.229 Å; angles 108.33, 90.00, 111.19 degrees
Fractional positions:
1 Ac 0.133 0.266 0.780
2 Ga 0.582 0.164 0.415
3 In 0.831 0.661 0.718
4 Ac 0.867 0.734 0.220
5 Ga 0.500 0.000 0.000
6 In 0.169 0.339 0.282
7 Ga 0.418 0.836 0.585



Record 20
A relaxed structure of Ac2InGa2, computed with PBE.

Computed properties:
- VASP energy: -3.9382 eV per atom
- Excess energy over the best structure of this formula in the dataset: 0.000 eV per atom

Cell lengths 4.670, 4.339, 7.580 Å; angles 106.63, 90.00, 90.00 degrees
Fractional positions:
1 Ac 0.500 0.630 0.261
2 Ac 0.500 0.370 0.739
3 In 0.000 0.000 0.000
4 Ga 0.000 0.202 0.403
5 Ga 0.000 0.798 0.597



Record 21
A relaxed structure of Ac2InGa7, computed with PBE.

Computed properties:
- VASP energy: -3.6517 eV per atom

Cell lengths 4.712, 4.712, 10.334 Å; angles 90.00, 90.00, 90.00 degrees
Fractional positions:
1 Ga 0.500 0.500 0.500
2 In 0.500 0.500 0.000
3 Ac 0.500 0.000 0.739
4 Ga 0.500 0.000 0.138
5 Ga 0.000 0.000 0.000
6 Ga 0.000 0.500 0.862
7 Ac 0.000 0.500 0.261
8 Ga 0.500 0.000 0.383
9 Ga 0.000 0.000 0.500
10 Ga 0.000 0.500 0.617



Record 22
A relaxed structure of Ac3In9Ga2, computed with PBE.

Computed properties:
- VASP energy: -3.4148 eV per atom

Cell lengths 5.012, 9.300, 9.300 Å; angles 73.28, 74.37, 74.37 degrees
Fractional positions:
1 Ac 0.319 0.681 0.681
2 Ga 0.500 0.301 0.699
3 In 0.139 0.586 0.135
4 In 0.343 0.025 0.289
5 In 0.000 0.500 0.500
6 In 0.861 0.865 0.414
7 In 0.343 0.289 0.025
8 In 0.139 0.135 0.586
9 In 0.657 0.711 0.975
10 Ac 0.000 0.000 0.000
11 In 0.657 0.975 0.711
12 Ga 0.500 0.699 0.301
13 Ac 0.681 0.319 0.319
14 In 0.861 0.414 0.865



Record 23
A relaxed structure of Ac2InGa, computed with PBE.

Computed properties:
- VASP energy: -3.9222 eV per atom

Cell lengths 3.990, 3.990, 8.137 Å; angles 90.00, 90.00, 90.00 degrees
Fractional positions:
1 Ac 0.000 0.000 0.237
2 Ga 0.500 0.500 0.000
3 Ac 0.000 0.000 0.763
4 In 0.500 0.500 0.500



| no. | DFT formation energy (meV per atom) | calculated density (g cm⁻³) | density of states at the Fermi level (states/eV/cell) |
| --- | --- | --- | --- |
| 1 | -330 | 7.84 | 18.67 |
| 2 | -384 | 7.86 | 6.17 |
| 3 | -405 | 7.86 | 2.46 |
| 4 | -469 | 7.86 | 2.60 |
| 5 | -340 | 7.24 | 3.80 |
| 6 | -168 | 7.56 | 8.33 |
| 7 | -322 | 8.02 | 19.89 |
| 8 | -521 | 7.76 | 1.84 |
| 9 | -460 | 7.87 | 8.00 |
| 10 | -247 | 7.77 | 3.31 |
| 11 | -424 | 8.19 | 4.96 |
| 12 | -402 | 7.83 | 9.20 |
| 13 | -505 | 7.93 | 5.43 |
| 14 | -216 | 7.82 | 20.06 |
| 15 | -384 | 7.98 | 7.75 |
| 16 | 0 | 6.69 | 9.32 |
| 17 | -498 | 7.82 | 5.61 |
| 18 | -496 | 7.77 | 4.75 |
| 19 | -465 | 7.87 | 2.86 |
| 20 | -536 | 7.99 | 2.67 |
| 21 | -437 | 7.65 | 3.29 |
| 22 | -342 | 7.87 | 5.83 |
| 23 | -427 | 8.19 | 2.21 |